No. 1
## BeAuNO2 (PBEsol)

Data for a relaxed structure of BeAuNO2.

Summary:
Energy relative to the elements, uncorrected   229 meV per atom
Density of states at the Fermi level   0.570 states/eV per atom
Symmetry   P4/mmm

Lattice parameters (Å, degrees): 3.093 3.093 5.966 90.00 90.00 90.00
Sites, in units of the cell vectors:
Be  0.000  0.000  0.000
Au  0.500  0.500  0.500
N  0.000  0.000  0.500
O  0.000  0.500  0.000
O  0.500  0.000  0.000

No. 2
## LiZr3Ir (PBEsol)

Data for a relaxed structure of LiZr3Ir.

Summary:
Density of states at the Fermi level   1.767 states/eV per atom
Symmetry   Pm-3m
Calculated formation energy   0.28 eV/atom

Lattice parameters (Å, degrees): 5.054 5.054 5.054 90.00 90.00 90.00
Sites, in units of the cell vectors:
Li  0.000  0.000  0.000
Zr  0.000  0.500  0.500
Zr  0.500  0.000  0.500
Zr  0.500  0.500  0.000
Ir  0.500  0.500  0.500

No. 3
## SrGeRhBr2 (PBEsol)

Data for a relaxed structure of SrGeRhBr2.

Summary:
Energy relative to the elements, uncorrected   -566 meV per atom
Density of states at the Fermi level   0.464 states/eV per atom
Symmetry   P4/mmm

Lattice parameters (Å, degrees): 5.193 5.193 4.678 90.00 90.00 90.00
Sites, in units of the cell vectors:
Sr  0.000  0.000  0.000
Ge  0.500  0.500  0.000
Rh  0.500  0.500  0.500
Br  0.000  0.500  0.500
Br  0.500  0.000  0.500

No. 4
## Sr4Bi2O (PBEsol)

Data for a relaxed structure of Sr4Bi2O.

Summary:
Energy relative to the elements, uncorrected   -1513 meV per atom
Symmetry   I4/mmm

Lattice parameters (Å, degrees): 9.382 9.382 9.382 149.19 149.19 44.14
Sites, in units of the cell vectors:
Sr  0.000  0.500  0.500
Sr  0.166  0.166  0.000
Sr  0.500  0.000  0.500
Sr  0.834  0.834  0.000
Bi  0.361  0.361  0.000
Bi  0.639  0.639  0.000
O  0.000  0.000  0.000

No. 5
## OsRh2 (PBEsol)

Data for a relaxed structure of OsRh2.

Summary:
Polymorph energy (0 for the lowest one)   0.024 eV per atom
Density of states at the Fermi level   1.048 states/eV per atom
Symmetry   P-3m1
Calculated formation energy   0.03 eV/atom

Lattice parameters (Å, degrees): 2.680 2.680 6.571 90.00 90.00 120.00
Sites, in units of the cell vectors:
Os  0.000  0.000  0.000
Rh  0.333  0.667  0.671
Rh  0.667  0.333  0.329

No. 6
## Cs2AlReW (PBEsol)

Data for a relaxed structure of Cs2AlReW.

Summary:
Density of states at the Fermi level   1.235 states/eV per atom
Symmetry   P4/mmm
Calculated formation energy   2.09 eV/atom

Lattice parameters (Å, degrees): 6.784 6.784 4.596 90.00 90.00 90.00
Sites, in units of the cell vectors:
Cs  0.000  0.500  0.000
Cs  0.500  0.000  0.000
Al  0.000  0.000  0.500
Re  0.500  0.500  0.500
W  0.500  0.500  0.000

No. 7
## Ba2CoPb (PBEsol)

Data for a relaxed structure of Ba2CoPb.

Summary:
Density of states at the Fermi level   1.979 states/eV per atom
Symmetry   F-43m
Calculated formation energy   0.28 eV/atom

Lattice parameters (Å, degrees): 5.428 5.428 5.428 60.00 60.00 60.00
Sites, in units of the cell vectors:
Ba  0.000  0.000  0.000
Ba  0.250  0.250  0.250
Co  0.750  0.750  0.750
Pb  0.500  0.500  0.500

No. 8
## CdTeCl (PBEsol)

Data for a relaxed structure of CdTeCl.

Summary:
Energy relative to the elements, uncorrected   384 meV per atom
Density of states at the Fermi level   1.101 states/eV per atom
Symmetry   F-43m

Lattice parameters (Å, degrees): 4.873 4.873 4.873 60.00 60.00 60.00
Sites, in units of the cell vectors:
Cd  0.000  0.000  0.000
Te  0.500  0.500  0.500
Cl  0.250  0.250  0.250

No. 9
## KY2Hg (PBEsol)

Data for a relaxed structure of KY2Hg.

Summary:
Density of states at the Fermi level   0.925 states/eV per atom
Symmetry   Pmmm
Calculated formation energy   0.19 eV/atom

Lattice parameters (Å, degrees): 3.790 5.514 5.627 90.00 90.00 90.00
Sites, in units of the cell vectors:
K  0.000  0.000  0.000
Y  0.000  0.500  0.500
Y  0.500  0.500  0.000
Hg  0.500  0.000  0.500

No. 10
## Sc4AgHg (PBEsol)

Data for a relaxed structure of Sc4AgHg.

Summary:
Density of states at the Fermi level   1.073 states/eV per atom
Symmetry   F-43m
Calculated formation energy   0.22 eV/atom

Lattice parameters (Å, degrees): 5.641 5.641 5.641 60.00 60.00 60.00
Sites, in units of the cell vectors:
Sc  0.125  0.125  0.125
Sc  0.125  0.125  0.626
Sc  0.125  0.626  0.125
Sc  0.626  0.125  0.125
Ag  0.500  0.500  0.500
Hg  0.750  0.750  0.750

No. 11
## ZrAs (PBEsol)

Data for a relaxed structure of ZrAs.

Summary:
Density of states at the Fermi level   0.642 states/eV per atom
Symmetry   P6_3/mmc
Calculated formation energy   -1.13 eV/atom

Lattice parameters (Å, degrees): 3.753 3.753 6.652 90.00 90.00 120.00
Sites, in units of the cell vectors:
Zr  0.000  0.000  0.000
Zr  0.000  0.000  0.500
As  0.333  0.667  0.250
As  0.667  0.333  0.750

No. 12
## BaAs2 (PBEsol)

Data for a relaxed structure of BaAs2.

Summary:
Density of states at the Fermi level   0.044 states/eV per atom
Symmetry   Pc
Calculated formation energy   -0.78 eV/atom

Lattice parameters (Å, degrees): 6.561 12.441 8.056 90.00 127.85 90.00
Sites, in units of the cell vectors:
Ba  0.000  0.077  0.000
Ba  0.000  0.923  0.500
Ba  0.456  0.419  0.663
Ba  0.456  0.581  0.163
Ba  0.730  0.277  0.296
Ba  0.730  0.723  0.796
As  0.124  0.340  0.834
As  0.124  0.660  0.334
As  0.159  0.340  0.169
As  0.159  0.660  0.669
As  0.281  0.158  0.532
As  0.281  0.842  0.032
As  0.427  0.110  0.891
As  0.427  0.890  0.391
As  0.572  0.080  0.473
As  0.572  0.920  0.973
As  0.910  0.495  0.141
As  0.910  0.505  0.641